Record 1
# CeTm2Rh (PBE-GGA, relaxed)
# **Offset from the most stable computed form**: 0.1932 eV/atom
# **SG**: R3m
# **ΔH_f (0 K)**: -0.297 eV/atom
data_CeTm2Rh
_chemical_formula_sum 'Ce1 Tm2 Rh1'
_cell_length_a 3.7381
_cell_length_b 3.7381
_cell_length_c 9.5013
_cell_angle_alpha 78.66
_cell_angle_beta 78.66
_cell_angle_gamma 60.00
_symmetry_space_group_name_H-M 'P 1'
_symmetry_Int_Tables_number 1
_symmetry_space_group_name_Hall 'P 1'
loop_
_atom_site_label
_atom_site_type_symbol
_atom_site_fract_x
_atom_site_fract_y
_atom_site_fract_z
Tm1 Tm 0.2739 0.2739 0.1783
Tm2 Tm 0.0586 0.0586 0.8241
Ce1 Ce 0.5013 0.5013 0.4960
Rh1 Rh 0.6662 0.6662 0.0015



Record 2
# CeTm3Rh8 (PBE-GGA, relaxed)
# **SG**: R3m
# **ΔH_f (0 K)**: -0.745 eV/atom
data_CeTm3Rh8
_chemical_formula_sum 'Ce1 Tm3 Rh8'
_cell_length_a 5.3205
_cell_length_b 5.3205
_cell_length_c 9.2098
_cell_angle_alpha 73.21
_cell_angle_beta 73.21
_cell_angle_gamma 60.00
_symmetry_space_group_name_H-M 'P 1'
_symmetry_Int_Tables_number 1
_symmetry_space_group_name_Hall 'P 1'
loop_
_atom_site_label
_atom_site_type_symbol
_atom_site_fract_x
_atom_site_fract_y
_atom_site_fract_z
Tm1 Tm 0.4990 0.4990 0.5030
Tm2 Tm 0.3744 0.3744 0.8769
Tm3 Tm 0.0011 0.0011 0.9967
Rh1 Rh 0.6876 0.6876 0.9373
Rh2 Rh 0.9366 0.4384 0.1865
Rh3 Rh 0.4384 0.9366 0.1865
Rh4 Rh 0.9372 0.9372 0.6884
Rh5 Rh 0.1872 0.1872 0.4383
Rh6 Rh 0.4373 0.9372 0.6884
Rh7 Rh 0.9372 0.4373 0.6884
Rh8 Rh 0.4384 0.4384 0.1865
Ce1 Ce 0.8757 0.8757 0.3729



Record 3
# CeTm3Rh4 (PBE-GGA, relaxed)
# **SG**: R-3m
# **ΔH_f (0 K)**: -0.882 eV/atom
data_CeTm3Rh4
_chemical_formula_sum 'Ce1 Tm3 Rh4'
_cell_length_a 4.8300
_cell_length_b 4.8300
_cell_length_c 8.3284
_cell_angle_alpha 73.14
_cell_angle_beta 73.14
_cell_angle_gamma 60.00
_symmetry_space_group_name_H-M 'P 1'
_symmetry_Int_Tables_number 1
_symmetry_space_group_name_Hall 'P 1'
loop_
_atom_site_label
_atom_site_type_symbol
_atom_site_fract_x
_atom_site_fract_y
_atom_site_fract_z
Ce1 Ce 0.0000 0.0000 0.0000
Tm1 Tm 0.7524 0.7524 0.7429
Tm2 Tm 0.2476 0.2476 0.2571
Tm3 Tm 0.5000 0.5000 0.5000
Rh1 Rh 0.3748 0.3748 0.8756
Rh2 Rh 0.1240 0.1240 0.6281
Rh3 Rh 0.8760 0.8760 0.3719
Rh4 Rh 0.6252 0.6252 0.1244



Record 4
# Ce2Tm5Rh4 (PBE-GGA, relaxed)
# **SG**: C2/m
# **ΔH_f (0 K)**: -0.377 eV/atom
data_Ce2Tm5Rh4
_chemical_formula_sum 'Ce2 Tm5 Rh4'
_cell_length_a 3.2732
_cell_length_b 11.1461
_cell_length_c 19.3714
_cell_angle_alpha 156.94
_cell_angle_beta 94.85
_cell_angle_gamma 90.00
_symmetry_space_group_name_H-M 'P 1'
_symmetry_Int_Tables_number 1
_symmetry_space_group_name_Hall 'P 1'
loop_
_atom_site_label
_atom_site_type_symbol
_atom_site_fract_x
_atom_site_fract_y
_atom_site_fract_z
Tm1 Tm 0.1510 0.7568 0.3020
Tm2 Tm 0.8490 0.2432 0.6980
Tm3 Tm 0.7956 0.4777 0.5911
Tm4 Tm 0.2044 0.5223 0.4089
Tm5 Tm 0.5000 0.0000 0.0000
Ce1 Ce 0.9298 0.1951 0.8597
Ce2 Ce 0.0702 0.8049 0.1403
Rh1 Rh 0.6749 0.6278 0.3498
Rh2 Rh 0.0300 0.8885 0.0601
Rh3 Rh 0.9700 0.1115 0.9399
Rh4 Rh 0.3251 0.3722 0.6502



Record 5
# CeTm2Rh4 (PBE-GGA, relaxed)
# **SG**: R-3m
# **ΔH_f (0 K)**: -0.603 eV/atom
data_CeTm2Rh4
_chemical_formula_sum 'Ce1 Tm2 Rh4'
_cell_length_a 4.6976
_cell_length_b 4.6976
_cell_length_c 8.0433
_cell_angle_alpha 73.02
_cell_angle_beta 73.02
_cell_angle_gamma 60.00
_symmetry_space_group_name_H-M 'P 1'
_symmetry_Int_Tables_number 1
_symmetry_space_group_name_Hall 'P 1'
loop_
_atom_site_label
_atom_site_type_symbol
_atom_site_fract_x
_atom_site_fract_y
_atom_site_fract_z
Rh1 Rh 0.3744 0.3744 0.8769
Rh2 Rh 0.6256 0.6256 0.1231
Rh3 Rh 0.8841 0.8841 0.3478
Rh4 Rh 0.1159 0.1159 0.6522
Tm1 Tm 0.2364 0.2364 0.2909
Tm2 Tm 0.7636 0.7636 0.7091
Ce1 Ce 0.0000 0.0000 0.0000



Record 6
# CeTm2Rh (PBE-GGA, relaxed)
# **Offset from the most stable computed form**: 0.0000 eV/atom
# **SG**: Pnma
# **ΔH_f (0 K)**: -0.490 eV/atom
data_CeTm2Rh
_chemical_formula_sum 'Ce4 Tm8 Rh4'
_cell_length_a 6.3343
_cell_length_b 7.0450
_cell_length_c 9.4116
_cell_angle_alpha 90.00
_cell_angle_beta 90.00
_cell_angle_gamma 90.00
_symmetry_space_group_name_H-M 'P 1'
_symmetry_Int_Tables_number 1
_symmetry_space_group_name_Hall 'P 1'
loop_
_atom_site_label
_atom_site_type_symbol
_atom_site_fract_x
_atom_site_fract_y
_atom_site_fract_z
Ce1 Ce 0.3565 0.4619 0.7500
Ce2 Ce 0.6435 0.5381 0.2500
Ce3 Ce 0.8565 0.0381 0.2500
Ce4 Ce 0.1435 0.9619 0.7500
Tm1 Tm 0.6661 0.8221 0.9358
Tm2 Tm 0.8339 0.3221 0.5642
Tm3 Tm 0.8339 0.3221 0.9358
Tm4 Tm 0.3339 0.1779 0.4358
Tm5 Tm 0.1661 0.6779 0.0642
Tm6 Tm 0.3339 0.1779 0.0642
Tm7 Tm 0.6661 0.8221 0.5642
Tm8 Tm 0.1661 0.6779 0.4358
Rh1 Rh 0.4515 0.8734 0.2500
Rh2 Rh 0.9515 0.6266 0.7500
Rh3 Rh 0.0485 0.3734 0.2500
Rh4 Rh 0.5485 0.1266 0.7500



Record 7
# Ce2Tm2Rh3 (PBE-GGA, relaxed)
# **SG**: C2/m
# **ΔH_f (0 K)**: -0.671 eV/atom
data_Ce2Tm2Rh3
_chemical_formula_sum 'Ce2 Tm2 Rh3'
_cell_length_a 4.5885
_cell_length_b 5.8765
_cell_length_c 7.0998
_cell_angle_alpha 100.23
_cell_angle_beta 90.02
_cell_angle_gamma 112.97
_symmetry_space_group_name_H-M 'P 1'
_symmetry_Int_Tables_number 1
_symmetry_space_group_name_Hall 'P 1'
loop_
_atom_site_label
_atom_site_type_symbol
_atom_site_fract_x
_atom_site_fract_y
_atom_site_fract_z
Ce1 Ce 0.8728 0.7454 0.6392
Ce2 Ce 0.1272 0.2546 0.3608
Rh1 Rh 0.8119 0.6233 0.2843
Rh2 Rh 0.0000 0.0000 0.0000
Rh3 Rh 0.1881 0.3767 0.7157
Tm1 Tm 0.3624 0.7246 0.0771
Tm2 Tm 0.6376 0.2754 0.9229



Record 8
# CeTmRh4 (PBE-GGA, relaxed)
# **SG**: F-43m
# **ΔH_f (0 K)**: -0.722 eV/atom
data_CeTmRh4
_chemical_formula_sum 'Ce1 Tm1 Rh4'
_cell_length_a 5.3346
_cell_length_b 5.3346
_cell_length_c 5.3346
_cell_angle_alpha 60.00
_cell_angle_beta 60.00
_cell_angle_gamma 60.00
_symmetry_space_group_name_H-M 'P 1'
_symmetry_Int_Tables_number 1
_symmetry_space_group_name_Hall 'P 1'
loop_
_atom_site_label
_atom_site_type_symbol
_atom_site_fract_x
_atom_site_fract_y
_atom_site_fract_z
Rh1 Rh 0.6247 0.6247 0.6247
Rh2 Rh 0.6247 0.6247 0.1260
Rh3 Rh 0.1260 0.6247 0.6247
Rh4 Rh 0.6247 0.1260 0.6247
Ce1 Ce 0.0000 0.0000 0.0000
Tm1 Tm 0.2500 0.2500 0.2500